The following is a GGA-PBE calculation of AcHoEr4 after structural relaxation, from Alexandria.

Values from the calculation:
E_tot: -4.427 eV per atom
calculated formation energy: 0.063 eV per atom
energy above the most stable polymorph in this dataset: 0 meV per atom

abc: 8.4917 8.4917 6.6522
angles: 109.73 109.73 102.51
Last column: nearest neighbours and their distance in Å.
Sites, in units of the cell vectors:
1 Ac 0.0750 0.9250 0.7500  3 Ho 3.53-3.67, 8 Er 3.60-3.93, 2 Ac 3.87
2 Ac 0.9250 0.0750 0.2500  3 Ho 3.53-3.67, 8 Er 3.60-3.93, 2 Ac 3.87
3 Ho 0.1913 0.8087 0.2500  6 Er 3.23-3.55, 1 Ac 3.53
4 Ho 0.8087 0.1913 0.7500  6 Er 3.23-3.55, 1 Ac 3.53
5 Er 0.1517 0.5188 0.7551  2 Ho 3.23-3.55, 5 Er 3.36-3.57
6 Er 0.2620 0.4193 0.2548  7 Er 3.42-3.81, 2 Ho 3.49-3.67, 1 Ac 3.60
7 Er 0.4193 0.2620 0.7548  7 Er 3.42-3.81, 2 Ho 3.49-3.67, 1 Ac 3.60
8 Er 0.4812 0.8483 0.7449  2 Ho 3.23-3.55, 5 Er 3.36-3.57
9 Er 0.5188 0.1517 0.2551  2 Ho 3.23-3.55, 5 Er 3.36-3.57
10 Er 0.5807 0.7380 0.2452  7 Er 3.42-3.81, 2 Ho 3.49-3.67, 1 Ac 3.60
11 Er 0.7380 0.5807 0.7452  7 Er 3.42-3.81, 2 Ho 3.49-3.67, 1 Ac 3.60
12 Er 0.8483 0.4812 0.2449  2 Ho 3.23-3.55, 5 Er 3.36-3.57